1.
DFT (PBE) results for a relaxed structure of Tb2TaPd9. Values from VASP.

The structure in Quantum ESPRESSO input format:
```
&SYSTEM
  ibrav = 0, nat = 12, ntyp = 3
/
ATOMIC_SPECIES
Tb 158.93 Tb.upf
Ta 180.95 Ta.upf
Pd 106.42 Pd.upf
ATOMIC_POSITIONS angstrom
Tb 0.000 0.000 2.038
Tb 0.000 0.000 10.211
Ta 0.000 0.000 6.125
Pd 0.000 2.035 0.000
Pd 0.000 2.035 4.254
Pd 0.000 2.035 7.995
Pd 2.035 0.000 0.000
Pd 2.035 0.000 4.254
Pd 2.035 0.000 7.995
Pd 2.035 2.035 2.133
Pd 2.035 2.035 6.125
Pd 2.035 2.035 10.117
CELL_PARAMETERS angstrom
4.070 0.000 0.000
0.000 4.070 0.000
0.000 0.000 12.249
```

Values from the calculation:
VASP energy = -77.03 eV per cell
V = 16.91 Å³ per atom
ρ = 11922 kg/m³
Formation enthalpy at 0 K = -0.765 eV per atom


2.
DFT (PBE) results for a relaxed structure of TiIrPtRh. Values from VASP.

The structure in Quantum ESPRESSO input format:
```
&SYSTEM
  ibrav = 0, nat = 4, ntyp = 4
/
ATOMIC_SPECIES
Ti 47.87 Ti.upf
Ir 192.22 Ir.upf
Pt 195.08 Pt.upf
Rh 102.91 Rh.upf
ATOMIC_POSITIONS angstrom
Ti 0.000 0.000 0.000
Ir 1.921 1.945 0.000
Pt 0.000 1.945 1.964
Rh 1.921 0.000 1.964
CELL_PARAMETERS angstrom
3.841 0.000 0.000
0.000 3.890 0.000
0.000 0.000 3.928
```

Values from the calculation:
VASP energy = -33.22 eV per cell
V = 14.67 Å³ per atom
ρ = 15222 kg/m³
Formation enthalpy at 0 K = -0.769 eV per atom


3.
DFT (PBE) results for a relaxed structure of Pr2Nd7Tm4. Values from VASP.

The structure in Quantum ESPRESSO input format:
```
&SYSTEM
  ibrav = 0, nat = 13, ntyp = 3
/
ATOMIC_SPECIES
Pr 140.91 Pr.upf
Nd 144.24 Nd.upf
Tm 168.93 Tm.upf
ATOMIC_POSITIONS angstrom
Pr 0.000 3.598 0.000
Pr 3.116 1.799 0.000
Nd 0.000 0.000 0.000
Nd -1.162 2.012 3.003
Nd -1.954 3.385 10.184
Nd 2.323 0.000 3.003
Nd 1.162 2.012 10.184
Nd 3.908 0.000 10.184
Nd 1.954 3.385 3.003
Tm 0.000 0.000 5.184
Tm 0.000 0.000 8.003
Tm 0.000 3.598 6.594
Tm 3.116 1.799 6.594
CELL_PARAMETERS angstrom
6.231 0.000 0.000
-3.116 5.396 0.000
0.000 0.000 13.187
```

Values from the calculation:
VASP energy = -58.38 eV per cell
V = 34.11 Å³ per atom
ρ = 7367 kg/m³
Formation enthalpy at 0 K = 0.188 eV per atom


4.
DFT (PBE) results for a relaxed structure of Ga3Rh. Values from VASP.

The structure in Quantum ESPRESSO input format:
```
&SYSTEM
  ibrav = 0, nat = 16, ntyp = 2
/
ATOMIC_SPECIES
Ga 69.72 Ga.upf
Rh 102.91 Rh.upf
ATOMIC_POSITIONS angstrom
Ga 0.000 0.424 2.123
Ga 0.000 3.341 0.331
Ga 0.000 3.341 3.915
Ga 0.000 5.841 4.577
Ga 0.000 5.841 8.161
Ga 0.000 8.759 6.369
Ga 1.651 1.250 4.577
Ga 1.651 1.250 8.161
Ga 1.651 4.167 6.369
Ga 1.651 5.015 2.123
Ga 1.651 7.933 0.331
Ga 1.651 7.933 3.915
Rh 0.000 2.157 6.369
Rh 0.000 7.026 2.123
Rh 1.651 2.435 2.123
Rh 1.651 6.748 6.369
CELL_PARAMETERS angstrom
3.302 0.000 0.000
0.000 9.182 0.000
0.000 0.000 8.492
```

Values from the calculation:
VASP energy = -73.02 eV per cell
V = 16.09 Å³ per atom
ρ = 8050 kg/m³
Formation enthalpy at 0 K = -0.455 eV per atom


5.
DFT (PBE) results for a relaxed structure of Nb2GaGe. Values from VASP.

The structure in Quantum ESPRESSO input format:
```
&SYSTEM
  ibrav = 0, nat = 16, ntyp = 3
/
ATOMIC_SPECIES
Nb 92.91 Nb.upf
Ga 69.72 Ga.upf
Ge 72.64 Ge.upf
ATOMIC_POSITIONS angstrom
Nb 1.727 1.772 0.718
Nb 1.772 5.270 2.154
Nb 1.772 5.359 5.025
Nb 1.816 1.772 3.590
Nb 5.270 5.315 3.590
Nb 5.315 1.727 5.025
Nb 5.315 1.816 2.154
Nb 5.359 5.315 0.718
Ga 0.000 0.000 2.872
Ga 0.000 3.543 4.307
Ga 3.543 0.000 1.436
Ga 3.543 3.543 0.000
Ge 0.000 0.000 0.000
Ge 0.000 3.543 1.436
Ge 3.543 0.000 4.307
Ge 3.543 3.543 2.872
CELL_PARAMETERS angstrom
7.086 0.000 0.000
0.000 7.086 0.000
0.000 0.000 5.743
```

Values from the calculation:
VASP energy = -110.96 eV per cell
V = 18.03 Å³ per atom
ρ = 7558 kg/m³
Formation enthalpy at 0 K = 0.011 eV per atom


6.
DFT (PBE) results for a relaxed structure of RbBPdF6. Values from VASP.

The structure in Quantum ESPRESSO input format:
```
&SYSTEM
  ibrav = 0, nat = 9, ntyp = 4
/
ATOMIC_SPECIES
Rb 85.47 Rb.upf
B 10.81 B.upf
Pd 106.42 Pd.upf
F 19.00 F.upf
ATOMIC_POSITIONS angstrom
Rb 0.000 0.000 0.000
B 2.633 1.520 2.933
Pd 0.000 3.040 2.933
F 1.980 0.353 3.889
F 1.296 1.539 1.977
F 3.285 0.353 1.977
F 1.948 2.669 3.889
F 3.970 1.539 3.889
F 3.317 2.669 1.977
CELL_PARAMETERS angstrom
5.265 0.000 0.000
-2.633 4.560 0.000
0.000 0.000 5.866
```

Values from the calculation:
VASP energy = -41.84 eV per cell
V = 15.65 Å³ per atom
ρ = 3733 kg/m³
Energy relative to the elements, uncorrected = -1975 meV/atom